Computed, not measured: crystalline KU2NiO8 at its relaxed geometry at the PBE with a Hubbard U level of DFT.

a b c (Å): 5.0072 5.0036 7.0356
angles (deg): 87.74 87.75 84.65
Closest atoms and distances in Å follow each position.
Sites, in units of the cell vectors:
K: 0.0000 0.0000 0.5000  6 O 2.50-2.54
U: 0.4920 0.4920 0.7572  4 O 2.00-2.04
U: 0.5080 0.5080 0.2428  4 O 2.00-2.04
Ni: 0.0000 0.0000 0.0000  4 O 1.97
O: 0.1978 0.7836 0.1985  1 Ni 1.97, 1 U 2.00
O: 0.6840 0.6847 0.0100  1 U 2.04
O: 0.7844 0.1983 0.1984  1 Ni 1.97, 1 U 2.00
O: 0.8022 0.2164 0.8015  1 Ni 1.97, 1 U 2.00
O: 0.3160 0.3153 0.9900  1 U 2.04
O: 0.2156 0.8017 0.8016  1 Ni 1.97, 1 U 2.00
O: 0.6607 0.6620 0.5202  1 U 2.03
O: 0.3393 0.3380 0.4798  1 U 2.03

## Properties
**DFT total energy**: -7.786 eV/atom